1.
The following is a DFT calculation (PBE) of crystalline Ca8Mn3N8 at its relaxed geometry.

```
data_Ca8Mn3N8
_chemical_formula_sum 'Ca8 Mn3 N8'
_cell_length_a 9.259
_cell_length_b 4.996
_cell_length_c 7.158
_cell_angle_alpha 90.00
_cell_angle_beta 74.48
_cell_angle_gamma 74.35
_space_group_name_H-M_alt 'P 1'
_space_group_IT_number 1
loop_
_space_group_symop_operation_xyz
'x,y,z'
loop_
_atom_site_label
_atom_site_fract_x
_atom_site_fract_y
_atom_site_fract_z
N1 0.648 0.176 0.437
N2 0.948 0.526 0.284
N3 0.438 0.281 0.172
N4 0.352 0.824 0.563
N5 0.562 0.719 0.828
N6 0.796 0.102 0.001
N7 0.204 0.898 0.999
N8 0.052 0.474 0.716
Mn1 0.000 0.500 0.500
Mn2 0.627 0.187 0.204
Mn3 0.373 0.813 0.796
Ca1 0.603 0.199 0.803
Ca2 0.197 0.401 0.045
Ca3 0.397 0.801 0.197
Ca4 0.335 0.333 0.529
Ca5 0.803 0.599 0.955
Ca6 0.665 0.667 0.471
Ca7 0.056 0.972 0.742
Ca8 0.944 0.028 0.258
```

Results
* N(E_F): 0.42 states/eV/atom
* space group: No. 12
* formation energy from raw total energies: -0.821 eV/atom
* M_tot: 3.01 μB per formula unit


2.
The following is a DFT calculation (PBE) of crystalline CaMn3N3 at its relaxed geometry.

```
data_CaMn3N3
_chemical_formula_sum 'Ca2 Mn6 N6'
_cell_length_a 2.965
_cell_length_b 7.850
_cell_length_c 7.704
_cell_angle_alpha 119.09
_cell_angle_beta 90.00
_cell_angle_gamma 90.00
_space_group_name_H-M_alt 'P 1'
_space_group_IT_number 1
loop_
_space_group_symop_operation_xyz
'x,y,z'
loop_
_atom_site_label
_atom_site_fract_x
_atom_site_fract_y
_atom_site_fract_z
N1 0.250 0.622 0.730
N2 0.750 0.378 0.270
N3 0.250 0.083 0.324
N4 0.250 0.327 0.841
N5 0.750 0.917 0.676
N6 0.750 0.673 0.159
Mn1 0.250 0.071 0.807
Mn2 0.750 0.790 0.834
Mn3 0.250 0.210 0.166
Mn4 0.750 0.390 0.026
Mn5 0.250 0.610 0.974
Mn6 0.750 0.929 0.193
Ca1 0.250 0.673 0.423
Ca2 0.750 0.327 0.577
```

Results
* N(E_F): 0.48 states/eV/atom
* space group: No. 11
* formation energy from raw total energies: -0.544 eV/atom
* M_tot: 4.39 μB per formula unit


3.
The following is a DFT calculation (PBE) of crystalline Ca3MnN4 at its relaxed geometry.

```
data_Ca3MnN4
_chemical_formula_sum 'Ca12 Mn4 N16'
_cell_length_a 7.046
_cell_length_b 7.427
_cell_length_c 8.385
_cell_angle_alpha 90.00
_cell_angle_beta 90.00
_cell_angle_gamma 90.00
_space_group_name_H-M_alt 'P 1'
_space_group_IT_number 1
loop_
_space_group_symop_operation_xyz
'x,y,z'
loop_
_atom_site_label
_atom_site_fract_x
_atom_site_fract_y
_atom_site_fract_z
N1 0.808 0.255 0.750
N2 0.308 0.245 0.750
N3 0.192 0.745 0.250
N4 0.167 0.951 0.924
N5 0.167 0.951 0.576
N6 0.667 0.549 0.924
N7 0.833 0.049 0.424
N8 0.667 0.549 0.576
N9 0.833 0.049 0.076
N10 0.511 0.915 0.750
N11 0.989 0.415 0.250
N12 0.489 0.085 0.250
N13 0.333 0.451 0.424
N14 0.011 0.585 0.750
N15 0.692 0.755 0.250
N16 0.333 0.451 0.076
Ca1 0.855 0.946 0.750
Ca2 0.558 0.218 0.545
Ca3 0.145 0.054 0.250
Ca4 0.058 0.282 0.545
Ca5 0.442 0.782 0.455
Ca6 0.442 0.782 0.045
Ca7 0.558 0.218 0.955
Ca8 0.355 0.554 0.750
Ca9 0.645 0.446 0.250
Ca10 0.942 0.718 0.045
Ca11 0.058 0.282 0.955
Ca12 0.942 0.718 0.455
Mn1 0.786 0.492 0.750
Mn2 0.714 0.992 0.250
Mn3 0.214 0.508 0.250
Mn4 0.286 0.008 0.750
```

Results
* N(E_F): 0.35 states/eV/atom
* space group: No. 62
* formation energy from raw total energies: -0.781 eV/atom
* M_tot: 1.01 μB per formula unit


4.
The following is a DFT calculation (PBE) of crystalline Ca3MnN at its relaxed geometry.

```
data_Ca3MnN
_chemical_formula_sum 'Ca3 Mn1 N1'
_cell_length_a 6.530
_cell_length_b 6.530
_cell_length_c 6.530
_cell_angle_alpha 90.00
_cell_angle_beta 90.00
_cell_angle_gamma 90.00
_space_group_name_H-M_alt 'P 1'
_space_group_IT_number 1
loop_
_space_group_symop_operation_xyz
'x,y,z'
loop_
_atom_site_label
_atom_site_fract_x
_atom_site_fract_y
_atom_site_fract_z
Ca1 0.000 0.000 0.500
Ca2 0.000 0.500 0.000
Ca3 0.500 0.000 0.000
N1 0.000 0.000 0.000
Mn1 0.500 0.500 0.500
```

Results
* N(E_F): 0.79 states/eV/atom
* space group: No. 221
* formation energy from raw total energies: 1.215 eV/atom
* M_tot: 3.88 μB per formula unit


5.
The following is a DFT calculation (PBE) of crystalline Ca5MnN4 at its relaxed geometry.

```
data_Ca5MnN4
_chemical_formula_sum 'Ca10 Mn2 N8'
_cell_length_a 5.844
_cell_length_b 7.443
_cell_length_c 7.911
_cell_angle_alpha 90.00
_cell_angle_beta 90.00
_cell_angle_gamma 90.00
_space_group_name_H-M_alt 'P 1'
_space_group_IT_number 1
loop_
_space_group_symop_operation_xyz
'x,y,z'
loop_
_atom_site_label
_atom_site_fract_x
_atom_site_fract_y
_atom_site_fract_z
Ca1 0.756 0.748 0.698
Ca2 0.244 0.248 0.198
Ca3 0.756 0.252 0.302
Ca4 0.244 0.752 0.802
Ca5 0.756 0.252 0.698
Ca6 0.244 0.248 0.802
Ca7 0.244 0.752 0.198
Ca8 0.304 0.500 0.500
Ca9 0.696 0.000 0.000
Ca10 0.756 0.748 0.302
N1 0.915 0.733 0.000
N2 0.511 0.500 0.236
N3 0.085 0.767 0.500
N4 0.915 0.267 0.000
N5 0.511 0.500 0.764
N6 0.085 0.233 0.500
N7 0.489 0.000 0.264
N8 0.489 0.000 0.736
Mn1 0.292 0.000 0.500
Mn2 0.708 0.500 0.000
```

Results
* N(E_F): 0.19 states/eV/atom
* space group: No. 59
* formation energy from raw total energies: -0.575 eV/atom
* M_tot: 5.00 μB per formula unit


6.
The following is a DFT calculation (PBE) of crystalline Ca3Mn2N4 at its relaxed geometry.

```
data_Ca3Mn2N4
_chemical_formula_sum 'Ca12 Mn8 N16'
_cell_length_a 5.636
_cell_length_b 9.595
_cell_length_c 9.074
_cell_angle_alpha 90.00
_cell_angle_beta 90.00
_cell_angle_gamma 90.00
_space_group_name_H-M_alt 'P 1'
_space_group_IT_number 1
loop_
_space_group_symop_operation_xyz
'x,y,z'
loop_
_atom_site_label
_atom_site_fract_x
_atom_site_fract_y
_atom_site_fract_z
Ca1 0.115 0.344 0.916
Ca2 0.250 0.500 0.598
Ca3 0.250 0.000 0.902
Ca4 0.750 0.500 0.402
Ca5 0.615 0.156 0.416
Ca6 0.385 0.656 0.916
Ca7 0.885 0.656 0.084
Ca8 0.615 0.344 0.084
Ca9 0.885 0.844 0.416
Ca10 0.115 0.156 0.584
Ca11 0.750 0.000 0.098
Ca12 0.385 0.844 0.584
N1 0.504 0.416 0.837
N2 0.496 0.584 0.163
N3 0.004 0.084 0.337
N4 0.504 0.084 0.663
N5 0.996 0.584 0.837
N6 0.996 0.916 0.663
N7 0.376 0.142 0.124
N8 0.124 0.642 0.376
N9 0.004 0.416 0.163
N10 0.876 0.142 0.876
N11 0.376 0.358 0.376
N12 0.624 0.858 0.876
N13 0.124 0.858 0.124
N14 0.876 0.358 0.624
N15 0.624 0.642 0.624
N16 0.496 0.916 0.337
Mn1 0.750 0.000 0.766
Mn2 0.648 0.250 0.750
Mn3 0.250 0.500 0.266
Mn4 0.750 0.500 0.734
Mn5 0.352 0.750 0.250
Mn6 0.852 0.750 0.750
Mn7 0.148 0.250 0.250
Mn8 0.250 0.000 0.234
```

Results
* N(E_F): 0.18 states/eV/atom
* space group: No. 52
* formation energy from raw total energies: -0.773 eV/atom
* M_tot: 1.90 μB per formula unit


7.
The following is a DFT calculation (PBE) of crystalline Ca2MnN2 at its relaxed geometry.

```
data_Ca2MnN2
_chemical_formula_sum 'Ca4 Mn2 N4'
_cell_length_a 7.070
_cell_length_b 7.070
_cell_length_c 2.938
_cell_angle_alpha 90.00
_cell_angle_beta 90.00
_cell_angle_gamma 90.00
_space_group_name_H-M_alt 'P 1'
_space_group_IT_number 1
loop_
_space_group_symop_operation_xyz
'x,y,z'
loop_
_atom_site_label
_atom_site_fract_x
_atom_site_fract_y
_atom_site_fract_z
N1 0.671 0.829 0.500
N2 0.171 0.671 0.500
N3 0.329 0.171 0.500
N4 0.829 0.329 0.500
Ca1 0.635 0.135 0.000
Ca2 0.135 0.365 0.000
Ca3 0.365 0.865 0.000
Ca4 0.865 0.635 0.000
Mn1 0.500 0.500 0.000
Mn2 0.000 0.000 0.000
```

Results
* N(E_F): 0.46 states/eV/atom
* space group: No. 127
* formation energy from raw total energies: 0.404 eV/atom
* M_tot: 4.65 μB per formula unit


8.
The following is a DFT calculation (PBE) of crystalline CaMn10N8 at its relaxed geometry.

```
data_CaMn10N8
_chemical_formula_sum 'Ca1 Mn10 N8'
_cell_length_a 8.392
_cell_length_b 3.844
_cell_length_c 7.538
_cell_angle_alpha 90.00
_cell_angle_beta 61.80
_cell_angle_gamma 76.76
_space_group_name_H-M_alt 'P 1'
_space_group_IT_number 1
loop_
_space_group_symop_operation_xyz
'x,y,z'
loop_
_atom_site_label
_atom_site_fract_x
_atom_site_fract_y
_atom_site_fract_z
N1 0.199 0.900 0.092
N2 0.358 0.821 0.601
N3 0.339 0.331 0.302
N4 0.092 0.454 0.771
N5 0.642 0.179 0.399
N6 0.801 0.100 0.908
N7 0.661 0.669 0.698
N8 0.908 0.546 0.229
Mn1 0.172 0.414 0.002
Mn2 0.642 0.679 0.439
Mn3 0.639 0.181 0.789
Mn4 0.600 0.200 0.180
Mn5 0.923 0.038 0.213
Mn6 0.077 0.962 0.787
Mn7 0.400 0.800 0.820
Mn8 0.361 0.819 0.211
Mn9 0.358 0.321 0.561
Mn10 0.828 0.586 0.998
Ca1 0.000 0.500 0.500
```

Results
* N(E_F): 0.61 states/eV/atom
* space group: No. 12
* formation energy from raw total energies: -0.256 eV/atom
* M_tot: 18.40 μB per formula unit